(1)
The following is a DFT calculation (PBE) of an optimized crystal structure of Hf2MgRe.

For the volume, the calculation gives 79 Å³ per cell. The calculated total energy comes out at -8.644 eV/atom. As for the formation energy: -0.6 eV/f.u.

a = 3.3482 Å, b = 3.3482 Å, c = 7.0409 Å
α = 90.00°, β = 90.00°, γ = 90.00°
With the nearest neighbours (Å) after each atom.
Space group P4/mmm (No. 123)
One atom of each set of equivalent atoms:
Hf 0.0000 0.0000 0.2195 (multiplicity 2)  4 Re 2.83, 4 Mg 3.08, 1 Hf 3.09
Mg 0.5000 0.5000 0.5000 (multiplicity 1)  8 Hf 3.08, 4 Mg 3.35
Re 0.5000 0.5000 0.0000 (multiplicity 1)  8 Hf 2.83



(2)
The following is a DFT calculation (PBE) of an optimized crystal structure of Hf2MgReRu.

For the volume, the calculation gives 110 Å³ per cell. The calculated total energy comes out at -7.740 eV/atom. As for the formation energy: 4.5 eV/f.u.

a = 4.8501 Å, b = 4.8501 Å, c = 4.6570 Å
α = 90.00°, β = 90.00°, γ = 90.00°
With the nearest neighbours (Å) after each atom.
Space group P4/mmm (No. 123)
One atom of each set of equivalent atoms:
Hf 0.0000 0.5000 0.0000 (multiplicity 2)  2 Ru 2.43
Mg 0.0000 0.0000 0.5000 (multiplicity 1)  2 Ru 2.33
Re 0.5000 0.5000 0.5000 (multiplicity 1)  8 Hf 3.36, 4 Mg 3.43
Ru 0.0000 0.0000 0.0000 (multiplicity 1)  2 Mg 2.33, 4 Hf 2.43



(3)
The following is a DFT calculation (PBE) of an optimized crystal structure of HfMgScRe.

For the volume, the calculation gives 302 Å³ per cell. The calculated total energy comes out at -7.676 eV/atom. As for the formation energy: -0.4 eV/f.u.

a = 6.7088 Å, b = 6.7088 Å, c = 6.7088 Å
α = 90.00°, β = 90.00°, γ = 90.00°
With the nearest neighbours (Å) after each atom.
Space group F-43m (No. 216)
One atom of each set of equivalent atoms:
Hf 0.0000 0.0000 0.0000 (multiplicity 4)  4 Re 2.91, 4 Mg 2.91
Mg 0.2500 0.2500 0.7500 (multiplicity 4)  4 Hf 2.91, 4 Sc 2.91
Sc 0.0000 0.0000 0.5000 (multiplicity 4)  4 Re 2.91, 4 Mg 2.91
Re 0.2500 0.2500 0.2500 (multiplicity 4)  4 Sc 2.91, 4 Hf 2.91



(4)
The following is a DFT calculation (PBE) of an optimized crystal structure of HfMgTa2Re.

For the volume, the calculation gives 114 Å³ per cell. The calculated total energy comes out at -8.444 eV/atom. As for the formation energy: 5.5 eV/f.u.

a = 4.8384 Å, b = 4.8384 Å, c = 4.8717 Å
α = 90.00°, β = 90.00°, γ = 90.00°
With the nearest neighbours (Å) after each atom.
Space group P4/mmm (No. 123)
One atom of each set of equivalent atoms:
Hf 0.0000 0.0000 0.0000 (multiplicity 1)  4 Mg 3.42, 8 Ta 3.43
Mg 0.5000 0.5000 0.0000 (multiplicity 1)  2 Re 2.44
Ta 0.0000 0.5000 0.5000 (multiplicity 2)  2 Re 2.42
Re 0.5000 0.5000 0.5000 (multiplicity 1)  4 Ta 2.42, 2 Mg 2.44



(5)
The following is a DFT calculation (PBE) of an optimized crystal structure of HfMgTiRe.

For the volume, the calculation gives 283 Å³ per cell. The calculated total energy comes out at -8.075 eV/atom. As for the formation energy: -0.4 eV/f.u.

a = 6.5664 Å, b = 6.5664 Å, c = 6.5664 Å
α = 90.00°, β = 90.00°, γ = 90.00°
With the nearest neighbours (Å) after each atom.
Space group F-43m (No. 216)
One atom of each set of equivalent atoms:
Hf 0.0000 0.0000 0.0000 (multiplicity 4)  4 Mg 2.84, 4 Re 2.84
Mg 0.2500 0.2500 0.2500 (multiplicity 4)  4 Hf 2.84, 4 Ti 2.84
Ti 0.0000 0.0000 0.5000 (multiplicity 4)  4 Re 2.84, 4 Mg 2.84
Re 0.2500 0.2500 0.7500 (multiplicity 4)  4 Hf 2.84, 4 Ti 2.84



(6)
The following is a DFT calculation (PBE) of an optimized crystal structure of HfMg2TlRe.

For the volume, the calculation gives 132 Å³ per cell. The calculated total energy comes out at -4.031 eV/atom. As for the formation energy: 7.8 eV/f.u.

a = 4.9134 Å, b = 4.9134 Å, c = 5.4581 Å
α = 90.00°, β = 90.00°, γ = 90.00°
With the nearest neighbours (Å) after each atom.
Space group P4/mmm (No. 123)
One atom of each set of equivalent atoms:
Hf 0.0000 0.0000 0.0000 (multiplicity 1)  2 Tl 2.73
Mg 0.0000 0.5000 0.5000 (multiplicity 2)  2 Tl 2.46
Tl 0.0000 0.0000 0.5000 (multiplicity 1)  4 Mg 2.46, 2 Hf 2.73
Re 0.5000 0.5000 0.0000 (multiplicity 1)  4 Hf 3.47, 8 Mg 3.67



(7)
The following is a DFT calculation (PBE) of an optimized crystal structure of TmHfMgRe.

For the volume, the calculation gives 321 Å³ per cell. The calculated total energy comes out at -7.136 eV/atom. As for the formation energy: -0.1 eV/f.u.

a = 6.8494 Å, b = 6.8494 Å, c = 6.8494 Å
α = 90.00°, β = 90.00°, γ = 90.00°
With the nearest neighbours (Å) after each atom.
Space group F-43m (No. 216)
One atom of each set of equivalent atoms:
Tm 0.0000 0.0000 0.0000 (multiplicity 4)  4 Re 2.97, 4 Mg 2.97
Hf 0.0000 0.0000 0.5000 (multiplicity 4)  4 Re 2.97, 4 Mg 2.97
Mg 0.2500 0.2500 0.2500 (multiplicity 4)  4 Hf 2.97, 4 Tm 2.97
Re 0.2500 0.2500 0.7500 (multiplicity 4)  4 Hf 2.97, 4 Tm 2.97



(8)
The following is a DFT calculation (PBE) of an optimized crystal structure of Y2HfMgRe.

For the volume, the calculation gives 150 Å³ per cell. The calculated total energy comes out at -6.355 eV/atom. As for the formation energy: 5.1 eV/f.u.

a = 5.6163 Å, b = 5.6163 Å, c = 4.7407 Å
α = 90.00°, β = 90.00°, γ = 90.00°
With the nearest neighbours (Å) after each atom.
Space group P4/mmm (No. 123)
One atom of each set of equivalent atoms:
Y 0.0000 0.5000 0.0000 (multiplicity 2)  2 Hf 2.81
Hf 0.0000 0.0000 0.0000 (multiplicity 1)  2 Re 2.37
Mg 0.5000 0.5000 0.5000 (multiplicity 1)  8 Y 3.67, 4 Re 3.97
Re 0.0000 0.0000 0.5000 (multiplicity 1)  2 Hf 2.37



(9)
The following is a DFT calculation (PBE) of an optimized crystal structure of HfMgZrRe.

For the volume, the calculation gives 307 Å³ per cell. The calculated total energy comes out at -8.255 eV/atom. As for the formation energy: -0.5 eV/f.u.

a = 6.7483 Å, b = 6.7483 Å, c = 6.7483 Å
α = 90.00°, β = 90.00°, γ = 90.00°
With the nearest neighbours (Å) after each atom.
Space group F-43m (No. 216)
One atom of each set of equivalent atoms:
Hf 0.0000 0.0000 0.0000 (multiplicity 4)  4 Mg 2.92, 4 Re 2.92
Mg 0.2500 0.2500 0.2500 (multiplicity 4)  4 Zr 2.92, 4 Hf 2.92
Zr 0.0000 0.0000 0.5000 (multiplicity 4)  4 Re 2.92, 4 Mg 2.92
Re 0.2500 0.2500 0.7500 (multiplicity 4)  4 Hf 2.92, 4 Zr 2.92



(10)
The following is a DFT calculation (PBE) of an optimized crystal structure of HfMg2Rh2.

For the volume, the calculation gives 171 Å³ per cell. The calculated total energy comes out at -6.056 eV/atom. As for the formation energy: -2.4 eV/f.u. The energy relative to the lowest polymorph listed for this composition is 0.148 eV/atom.

a = 7.3196 Å, b = 7.3196 Å, c = 3.1916 Å
α = 90.00°, β = 90.00°, γ = 90.00°
With the nearest neighbours (Å) after each atom.
Space group P4/mbm (No. 127)
One atom of each set of equivalent atoms:
Hf 0.0000 0.0000 0.0000 (multiplicity 2)  4 Rh 2.76
Mg 0.1403 0.3597 0.5000 (multiplicity 4)  6 Rh 2.63-2.71, 1 Mg 2.91
Rh 0.1583 0.6583 0.0000 (multiplicity 4)  6 Mg 2.63-2.71, 2 Hf 2.76



(11)
The following is a DFT calculation (PBE) of an optimized crystal structure of Hf2MgRh3.

For the volume, the calculation gives 101 Å³ per cell. The calculated total energy comes out at -8.143 eV/atom. As for the formation energy: -5.3 eV/f.u.

a = 3.2849 Å, b = 3.2849 Å, c = 9.3858 Å
α = 90.00°, β = 90.00°, γ = 90.00°
With the nearest neighbours (Å) after each atom.
Space group P4/mmm (No. 123)
One atom of each set of equivalent atoms:
Hf 0.0000 0.0000 0.1755 (multiplicity 2)  8 Rh 2.73-2.85, 1 Mg 3.05
Mg 0.0000 0.0000 0.5000 (multiplicity 1)  8 Rh 2.83, 2 Hf 3.05
Rh 0.5000 0.5000 0.0000 (multiplicity 1)  8 Hf 2.85, 2 Rh 3.08
Rh 0.5000 0.5000 0.3277 (multiplicity 2)  4 Hf 2.73, 4 Mg 2.83



(12)
The following is a DFT calculation (PBE) of an optimized crystal structure of Hf4MgRh5.

For the volume, the calculation gives 171 Å³ per cell. The calculated total energy comes out at -8.688 eV/atom. As for the formation energy: -8.7 eV/f.u.

a = 3.2753 Å, b = 3.2753 Å, c = 15.9654 Å
α = 90.00°, β = 90.00°, γ = 90.00°
With the nearest neighbours (Å) after each atom.
Space group P4/mmm (No. 123)
One atom of each set of equivalent atoms:
Hf 0.0000 0.0000 0.1016 (multiplicity 2)  8 Rh 2.82-2.83
Hf 0.0000 0.0000 0.3076 (multiplicity 2)  8 Rh 2.73-2.86
Mg 0.0000 0.0000 0.5000 (multiplicity 1)  8 Rh 2.83, 2 Hf 3.07
Rh 0.5000 0.5000 0.0000 (multiplicity 1)  8 Hf 2.83
Rh 0.5000 0.5000 0.2025 (multiplicity 2)  8 Hf 2.82-2.86, 1 Rh 3.12
Rh 0.5000 0.5000 0.3977 (multiplicity 2)  4 Hf 2.73, 4 Mg 2.83